## Er4SnPt (PBE)

Data for a relaxed Er4SnPt crystal.

a = 8.0807 Å, b = 8.0807 Å, c = 5.8750 Å
α = 102.56°, β = 102.56°, γ = 113.40°
Last column: nearest neighbours and their distance in Å.
Atoms (fractional coordinates):
Er: 0.0609 0.7090 0.9286  2 Pt 2.93-2.96, 2 Sn 3.20-3.22
Er: 0.2148 0.3612 0.6657  2 Pt 2.92-2.96, 1 Sn 3.21
Er: 0.2910 0.9391 0.5714  2 Pt 2.93-2.96, 2 Sn 3.20-3.22
Er: 0.3612 0.2148 0.1657  2 Pt 2.92-2.96, 1 Sn 3.21
Er: 0.6388 0.7852 0.8343  2 Pt 2.92-2.96, 1 Sn 3.21
Er: 0.7090 0.0609 0.4286  2 Pt 2.93-2.96, 2 Sn 3.20-3.22
Er: 0.7852 0.6388 0.3343  2 Pt 2.92-2.96, 1 Sn 3.21
Er: 0.9391 0.2910 0.0714  2 Pt 2.93-2.96, 2 Sn 3.20-3.22
Sn: 0.3736 0.6264 0.2500  8 Er 3.20-3.27
Sn: 0.6264 0.3736 0.7500  8 Er 3.20-3.27
Pt: 0.0005 0.9995 0.7500  8 Er 2.92-2.96, 2 Pt 2.94
Pt: 0.9995 0.0005 0.2500  8 Er 2.92-2.96, 2 Pt 2.94

Calculated total energy ... -32.42 eV per formula unit
Magnetization ... 0.0000 μB per atom
Density of states at the Fermi level ... 1.05 states/eV per atom